Entry from the Alexandria database: a PBEsol-optimized structure of YMn2Ru (meta-GGA SCAN).

Volume: 17.19 Å³ per atom
Electronic total energy: -24.6492 eV per atom
E_form: 0.15 eV per atom
Offset from the most stable computed form: 0.1480 eV per atom

```
YMn2Ru
1.0
-3.9155 0.7645 0.0062
-2.4794 -2.2722 -2.1459
-2.7203 -3.5488 3.1924
Y Ru Mn
1 1 2
Direct
0.7479 0.7479 0.7564 Y
0.5540 0.5540 0.3379 Ru
0.2533 0.2533 0.2400 Mn
0.9407 0.9407 0.1780 Mn
```